1.
First-principles (PBE-GGA) data for a relaxed CsSb2PI crystal, as listed in the Alexandria database.

Cell lengths 5.215, 5.215, 9.222 Å; angles 90.00, 90.00, 90.00 degrees
Fractional coordinates of all 5 atoms:
Cs1 0.000 0.000 0.000
Sb1 0.000 0.500 0.500
Sb2 0.500 0.000 0.500
P1 0.500 0.500 0.500
I1 0.500 0.500 0.000

Values from the calculation:
As for the energy above the most stable polymorph in this dataset: 0.00 kcal/mol of atoms. The value obtained for the total magnetic moment is 0.00 Bohr magnetons per cell. For the calculated volume, the calculation gives 250.8 Å³/f.u. As for the total DFT energy (no corrections): -3.173 eV/atom. Its density is 3.54 g/cm³. As for the raw formation energy: 39 meV per atom. Its space-group type is P4/mmm.

***

2.
First-principles (PBE-GGA) data for a relaxed CsSbPI2 crystal, as listed in the Alexandria database.

Cell lengths 7.481, 7.481, 8.785 Å; angles 90.00, 90.00, 90.00 degrees
Fractional coordinates of all 5 atoms:
Cs1 0.000 0.000 0.000
Sb1 0.000 0.000 0.500
P1 0.500 0.500 0.500
I1 0.000 0.500 0.000
I2 0.500 0.000 0.000

Values from the calculation:
As for the energy above the most stable polymorph in this dataset: 26.82 kcal/mol of atoms. The value obtained for the total magnetic moment is 6.86 Bohr magnetons per cell. For the calculated volume, the calculation gives 491.6 Å³/f.u. As for the total DFT energy (no corrections): -1.804 eV/atom. Its density is 1.82 g/cm³. As for the raw formation energy: 893 meV per atom. Its space-group type is P4/mmm.

***

3.
First-principles (PBE-GGA) data for a relaxed CsSbPI2 crystal, as listed in the Alexandria database.

Cell lengths 6.394, 6.394, 5.135 Å; angles 90.00, 90.00, 90.00 degrees
Fractional coordinates of all 5 atoms:
Cs1 0.000 0.000 0.000
Sb1 0.500 0.500 0.500
P1 0.500 0.500 0.000
I1 0.000 0.500 0.500
I2 0.500 0.000 0.500

Values from the calculation:
As for the energy above the most stable polymorph in this dataset: 0.00 kcal/mol of atoms. The value obtained for the total magnetic moment is 0.72 Bohr magnetons per cell. For the calculated volume, the calculation gives 210.0 Å³/f.u. As for the total DFT energy (no corrections): -2.968 eV/atom. Its density is 4.27 g/cm³. As for the raw formation energy: -270 meV per atom. Its space-group type is P4/mmm.

***

4.
First-principles (PBE-GGA) data for a relaxed CsSb2PI crystal, as listed in the Alexandria database.

Cell lengths 6.522, 6.522, 6.808 Å; angles 90.00, 90.00, 90.00 degrees
Fractional coordinates of all 5 atoms:
Cs1 0.000 0.000 0.000
Sb1 0.000 0.500 0.000
Sb2 0.500 0.000 0.000
P1 0.500 0.500 0.500
I1 0.000 0.000 0.500

Values from the calculation:
As for the energy above the most stable polymorph in this dataset: 34.43 kcal/mol of atoms. The value obtained for the total magnetic moment is 5.75 Bohr magnetons per cell. For the calculated volume, the calculation gives 289.6 Å³/f.u. As for the total DFT energy (no corrections): -1.680 eV/atom. Its density is 3.06 g/cm³. As for the raw formation energy: 1532 meV per atom. Its space-group type is P4/mmm.

***

5.
First-principles (PBE-GGA) data for a relaxed CsSbPI2 crystal, as listed in the Alexandria database.

Cell lengths 6.249, 6.249, 5.032 Å; angles 90.00, 90.00, 90.00 degrees
Fractional coordinates of all 5 atoms:
Cs1 0.000 0.000 0.000
Sb1 0.500 0.500 0.000
P1 0.500 0.500 0.500
I1 0.000 0.500 0.500
I2 0.500 0.000 0.500

Values from the calculation:
As for the energy above the most stable polymorph in this dataset: 2.22 kcal/mol of atoms. The value obtained for the total magnetic moment is 0.00 Bohr magnetons per cell. For the calculated volume, the calculation gives 196.5 Å³/f.u. As for the total DFT energy (no corrections): -2.871 eV/atom. Its density is 4.56 g/cm³. As for the raw formation energy: -174 meV per atom. Its space-group type is P4/mmm.

***

6.
First-principles (PBE-GGA) data for a relaxed Cs2PSeI6 crystal, as listed in the Alexandria database.

Cell lengths 8.276, 8.276, 8.276 Å; angles 119.64, 119.64, 90.62 degrees
Fractional coordinates of all 10 atoms:
Cs1 0.250 0.750 0.500
Cs2 0.750 0.250 0.500
P1 0.000 0.000 0.000
Se1 0.500 0.500 0.000
I1 0.239 0.239 0.479
I2 0.239 0.761 0.000
I3 0.243 0.243 0.000
I4 0.757 0.757 0.000
I5 0.761 0.239 0.000
I6 0.761 0.761 0.521

Values from the calculation:
The value obtained for the total magnetic moment is 0.00 Bohr magnetons per cell. For the calculated volume, the calculation gives 403.0 Å³/f.u. As for the total DFT energy (no corrections): -2.565 eV/atom. Its density is 4.69 g/cm³. As for the raw formation energy: -574 meV per atom. Its space-group type is I4/mmm.

***

Q: Among the records above, which one has the highest calculated volume?
A: number 2